Record 1
! TbCeSm2Dy PBE relaxed; values from VASP
&SYSTEM
  ibrav = 0, nat = 10, ntyp = 4
/
ATOMIC_SPECIES
Tb 158.93 Tb.upf
Ce 140.12 Ce.upf
Sm 150.36 Sm.upf
Dy 162.50 Dy.upf
CELL_PARAMETERS angstrom
6.6800 0.0000 0.0000
0.0000 8.1285 0.0000
-0.0057 0.0000 6.1307
ATOMIC_POSITIONS angstrom
Tb -0.0014 1.1927 1.5327
Tb -0.0043 6.9358 4.5980
Ce 0.0000 4.0642 0.0000
Ce -0.0029 4.0642 3.0653
Sm 1.7504 1.5271 4.6002
Sm 1.7533 6.6013 1.5348
Sm 4.9210 1.5271 4.5958
Sm 4.9239 6.6013 1.5305
Dy 3.3386 3.0100 1.5327
Dy 3.3357 5.1185 4.5980
! - E_tot (eV per atom) = -4.63
! - D(E_F) (states/eV/cell) = 22.9
! - energy of formation from the pure elements (kcal/mol of atoms) = 6.62

---

Record 2
! Tb2CeSm6Dy PBE relaxed; values from VASP
&SYSTEM
  ibrav = 0, nat = 10, ntyp = 4
/
ATOMIC_SPECIES
Tb 158.93 Tb.upf
Ce 140.12 Ce.upf
Sm 150.36 Sm.upf
Dy 162.50 Dy.upf
CELL_PARAMETERS angstrom
5.7094 -3.4531 0.0000
5.7094 3.4531 0.0000
-2.3259 0.0000 8.5759
ATOMIC_POSITIONS angstrom
Tb 0.6228 0.0000 1.4433
Tb 8.4700 0.0000 7.1325
Ce 5.7094 0.0000 0.0000
Sm 3.2618 1.8151 1.7200
Sm 2.9264 0.0000 5.0114
Sm 5.8311 1.8151 6.8558
Sm 3.2618 -1.8151 1.7200
Sm 6.1665 0.0000 3.5645
Sm 5.8311 -1.8151 6.8558
Dy -1.1629 0.0000 4.2879
! - E_tot (eV per atom) = -4.56
! - D(E_F) (states/eV/cell) = 22.6
! - energy of formation from the pure elements (kcal/mol of atoms) = 5.69

---

Record 3
! Tb3Ce2SmDy6 PBE relaxed; values from VASP
&SYSTEM
  ibrav = 0, nat = 12, ntyp = 4
/
ATOMIC_SPECIES
Tb 158.93 Tb.upf
Ce 140.12 Ce.upf
Sm 150.36 Sm.upf
Dy 162.50 Dy.upf
CELL_PARAMETERS angstrom
3.0728 -5.3229 0.0000
3.0728 5.3229 0.0000
-2.0508 0.0000 11.5718
ATOMIC_POSITIONS angstrom
Tb 0.0000 0.0000 0.0000
Tb 3.0728 1.7696 0.0000
Tb 3.0728 -1.7696 0.0000
Ce 2.0474 3.5488 5.7859
Ce 2.0474 -3.5488 5.7859
Sm 2.0474 0.0000 5.7859
Dy 1.0130 1.7876 2.9003
Dy -0.0140 0.0000 8.6719
Dy 1.0130 -1.7876 2.9003
Dy 3.0818 1.7876 8.6715
Dy 4.1088 0.0000 2.8998
Dy 3.0818 -1.7876 8.6715
! - E_tot (eV per atom) = -4.79
! - D(E_F) (states/eV/cell) = 21.7
! - energy of formation from the pure elements (kcal/mol of atoms) = 1.09

---

Record 4
! TbCeSmDy3 PBE relaxed; values from VASP
&SYSTEM
  ibrav = 0, nat = 12, ntyp = 4
/
ATOMIC_SPECIES
Tb 158.93 Tb.upf
Ce 140.12 Ce.upf
Sm 150.36 Sm.upf
Dy 162.50 Dy.upf
CELL_PARAMETERS angstrom
2.9450 -5.5453 0.0000
2.9450 5.5453 0.0000
0.0000 0.0000 11.7910
ATOMIC_POSITIONS angstrom
Tb 2.9450 3.6411 8.8433
Tb 2.9450 -3.6411 2.9478
Ce 2.9450 0.0124 8.8433
Ce 2.9450 -0.0124 2.9478
Sm 0.0000 0.0000 0.0000
Sm 0.0000 0.0000 5.8955
Dy 2.9450 3.6470 2.9478
Dy 2.9450 1.8835 0.0075
Dy 2.9450 1.8835 5.8880
Dy 2.9450 -1.8835 5.9030
Dy 2.9450 -1.8835 11.7836
Dy 2.9450 -3.6470 8.8433
! - E_tot (eV per atom) = -4.69
! - D(E_F) (states/eV/cell) = 31.2
! - energy of formation from the pure elements (kcal/mol of atoms) = 3.62

---

Record 5
! Tb2CeSmDy5 PBE relaxed; values from VASP
&SYSTEM
  ibrav = 0, nat = 18, ntyp = 4
/
ATOMIC_SPECIES
Tb 158.93 Tb.upf
Ce 140.12 Ce.upf
Sm 150.36 Sm.upf
Dy 162.50 Dy.upf
CELL_PARAMETERS angstrom
8.5098 0.0000 0.0000
0.0000 8.5098 0.0000
0.0000 0.0000 8.1006
ATOMIC_POSITIONS angstrom
Tb 1.0367 3.2182 0.0000
Tb 3.2182 7.4731 0.0000
Tb 5.2916 1.0367 0.0000
Tb 7.4731 5.2916 0.0000
Ce 0.0000 4.2549 4.0503
Ce 4.2549 0.0000 4.0503
Sm 0.0000 0.0000 4.0503
Sm 4.2549 4.2549 4.0503
Dy 0.0000 0.0000 0.0000
Dy 1.7133 5.9682 2.2009
Dy 1.7133 5.9682 5.8996
Dy 2.5416 1.7133 2.2009
Dy 2.5416 1.7133 5.8996
Dy 4.2549 4.2549 0.0000
Dy 5.9682 6.7965 2.2009
Dy 5.9682 6.7965 5.8996
Dy 6.7965 2.5416 2.2009
Dy 6.7965 2.5416 5.8996
! - E_tot (eV per atom) = -4.47
! - D(E_F) (states/eV/cell) = 32.3
! - energy of formation from the pure elements (kcal/mol of atoms) = 6.91

---

Record 6
! TbCe2Sm6Dy3 PBE relaxed; values from VASP
&SYSTEM
  ibrav = 0, nat = 12, ntyp = 4
/
ATOMIC_SPECIES
Tb 158.93 Tb.upf
Ce 140.12 Ce.upf
Sm 150.36 Sm.upf
Dy 162.50 Dy.upf
CELL_PARAMETERS angstrom
3.1027 -5.3752 0.0000
3.1027 5.3752 0.0000
-2.0774 0.0000 11.6981
ATOMIC_POSITIONS angstrom
Tb 0.0000 0.0000 0.0000
Ce 3.1027 1.7907 0.0000
Ce 3.1027 -1.7907 0.0000
Sm 1.0442 1.8047 2.9161
Sm 0.0036 0.0000 8.7782
Sm 1.0442 -1.8047 2.9161
Sm 3.0838 1.8047 8.7820
Sm 4.1244 0.0000 2.9199
Sm 3.0838 -1.8047 8.7820
Dy 2.0640 3.5875 5.8491
Dy 2.0640 0.0000 5.8491
Dy 2.0640 -3.5875 5.8491
! - E_tot (eV per atom) = -4.83
! - D(E_F) (states/eV/cell) = 23.6
! - energy of formation from the pure elements (kcal/mol of atoms) = 1.21

---

Record 7
! TbCeSmDy PBE relaxed; values from VASP
&SYSTEM
  ibrav = 0, nat = 16, ntyp = 4
/
ATOMIC_SPECIES
Tb 158.93 Tb.upf
Ce 140.12 Ce.upf
Sm 150.36 Sm.upf
Dy 162.50 Dy.upf
CELL_PARAMETERS angstrom
8.0372 0.0000 0.0000
0.0000 8.0372 0.0000
0.0000 0.0000 8.0372
ATOMIC_POSITIONS angstrom
Tb 0.0000 0.0000 0.0000
Tb 0.0000 4.0186 4.0186
Tb 4.0186 0.0000 4.0186
Tb 4.0186 4.0186 0.0000
Ce 2.0093 2.0093 6.0279
Ce 2.0093 6.0279 2.0093
Ce 6.0279 2.0093 2.0093
Ce 6.0279 6.0279 6.0279
Sm 2.0093 2.0093 2.0093
Sm 2.0093 6.0279 6.0279
Sm 6.0279 2.0093 6.0279
Sm 6.0279 6.0279 2.0093
Dy 0.0000 0.0000 4.0186
Dy 0.0000 4.0186 0.0000
Dy 4.0186 0.0000 0.0000
Dy 4.0186 4.0186 4.0186
! - E_tot (eV per atom) = -4.79
! - D(E_F) (states/eV/cell) = 44.5
! - energy of formation from the pure elements (kcal/mol of atoms) = 4.16

---

Record 8
! Tb6Ce2Sm3Dy PBE relaxed; values from VASP
&SYSTEM
  ibrav = 0, nat = 12, ntyp = 4
/
ATOMIC_SPECIES
Tb 158.93 Tb.upf
Ce 140.12 Ce.upf
Sm 150.36 Sm.upf
Dy 162.50 Dy.upf
CELL_PARAMETERS angstrom
3.0913 -5.3539 0.0000
3.0913 5.3539 0.0000
-2.0626 0.0000 11.6244
ATOMIC_POSITIONS angstrom
Tb -0.0108 1.7966 8.7563
Tb 1.0184 0.0000 2.8708
Tb -0.0108 -1.7966 8.7563
Tb 4.1308 1.7966 2.8681
Tb 3.1016 0.0000 8.7536
Tb 4.1308 -1.7966 2.8681
Ce 3.0913 3.5715 0.0000
Ce 3.0913 -3.5715 0.0000
Sm -1.0313 0.0000 5.8122
Sm 2.0600 1.7792 5.8122
Sm 2.0600 -1.7792 5.8122
Dy 3.0913 0.0000 0.0000
! - E_tot (eV per atom) = -4.82
! - D(E_F) (states/eV/cell) = 21.4
! - energy of formation from the pure elements (kcal/mol of atoms) = 1.05

---

Which formula does entry 2 have? Tb2CeSm6Dy

---

What did the sixth record say?
! TbCe2Sm6Dy3 PBE relaxed; values from VASP
&SYSTEM
  ibrav = 0, nat = 12, ntyp = 4
/
ATOMIC_SPECIES
Tb 158.93 Tb.upf
Ce 140.12 Ce.upf
Sm 150.36 Sm.upf
Dy 162.50 Dy.upf
CELL_PARAMETERS angstrom
3.1027 -5.3752 0.0000
3.1027 5.3752 0.0000
-2.0774 0.0000 11.6981
ATOMIC_POSITIONS angstrom
Tb 0.0000 0.0000 0.0000
Ce 3.1027 1.7907 0.0000
Ce 3.1027 -1.7907 0.0000
Sm 1.0442 1.8047 2.9161
Sm 0.0036 0.0000 8.7782
Sm 1.0442 -1.8047 2.9161
Sm 3.0838 1.8047 8.7820
Sm 4.1244 0.0000 2.9199
Sm 3.0838 -1.8047 8.7820
Dy 2.0640 3.5875 5.8491
Dy 2.0640 0.0000 5.8491
Dy 2.0640 -3.5875 5.8491
! - E_tot (eV per atom) = -4.83
! - D(E_F) (states/eV/cell) = 23.6
! - energy of formation from the pure elements (kcal/mol of atoms) = 1.21

---

Repeat the first record exactly.
! TbCeSm2Dy PBE relaxed; values from VASP
&SYSTEM
  ibrav = 0, nat = 10, ntyp = 4
/
ATOMIC_SPECIES
Tb 158.93 Tb.upf
Ce 140.12 Ce.upf
Sm 150.36 Sm.upf
Dy 162.50 Dy.upf
CELL_PARAMETERS angstrom
6.6800 0.0000 0.0000
0.0000 8.1285 0.0000
-0.0057 0.0000 6.1307
ATOMIC_POSITIONS angstrom
Tb -0.0014 1.1927 1.5327
Tb -0.0043 6.9358 4.5980
Ce 0.0000 4.0642 0.0000
Ce -0.0029 4.0642 3.0653
Sm 1.7504 1.5271 4.6002
Sm 1.7533 6.6013 1.5348
Sm 4.9210 1.5271 4.5958
Sm 4.9239 6.6013 1.5305
Dy 3.3386 3.0100 1.5327
Dy 3.3357 5.1185 4.5980
! - E_tot (eV per atom) = -4.63
! - D(E_F) (states/eV/cell) = 22.9
! - energy of formation from the pure elements (kcal/mol of atoms) = 6.62

---

Number 3 is which compound? Tb3Ce2SmDy6